Entry 1:
# La5Tl2Co PBE relaxed
data_La5Tl2Co
_cell_length_a 4.903
_cell_length_b 8.378
_cell_length_c 12.333
_cell_angle_alpha 90.00
_cell_angle_beta 90.00
_cell_angle_gamma 90.00
_space_group_name_H-M_alt 'P 1'
_space_group_IT_number 1
loop_
_space_group_symop_operation_xyz
'x,y,z'
loop_
_atom_site_label
_atom_site_fract_x
_atom_site_fract_y
_atom_site_fract_z
La1 0.500 0.183 0.067
La2 0.000 0.000 0.500
La3 0.000 0.500 0.000
La4 0.500 0.817 0.933
La5 0.000 0.124 0.808
La6 0.000 0.876 0.192
La7 0.500 0.317 0.567
La8 0.500 0.683 0.433
La9 0.000 0.624 0.692
La10 0.000 0.376 0.308
Tl1 0.500 0.918 0.669
Tl2 0.500 0.582 0.169
Tl3 0.500 0.082 0.331
Tl4 0.500 0.418 0.831
Co1 0.000 0.000 0.000
Co2 0.000 0.500 0.500
# **Crystal system**: orthorhombic
# **Formation energy from the elements**: -0.287 eV per atom
# **Energy**: -4.85 eV per atom

Entry 2:
# LaTlCo PBE relaxed
data_LaTlCo
_cell_length_a 4.723
_cell_length_b 4.723
_cell_length_c 4.723
_cell_angle_alpha 60.00
_cell_angle_beta 60.00
_cell_angle_gamma 60.00
_space_group_name_H-M_alt 'P 1'
_space_group_IT_number 1
loop_
_space_group_symop_operation_xyz
'x,y,z'
loop_
_atom_site_label
_atom_site_fract_x
_atom_site_fract_y
_atom_site_fract_z
La1 0.000 0.000 0.000
Tl1 0.500 0.500 0.500
Co1 0.250 0.250 0.250
# **Crystal system**: cubic
# **Formation energy from the elements**: -0.022 eV per atom
# **Energy**: -4.82 eV per atom

Entry 3:
# La2YTlCo PBE relaxed
data_La2YTlCo
_cell_length_a 5.179
_cell_length_b 5.179
_cell_length_c 5.465
_cell_angle_alpha 90.00
_cell_angle_beta 90.00
_cell_angle_gamma 90.00
_space_group_name_H-M_alt 'P 1'
_space_group_IT_number 1
loop_
_space_group_symop_operation_xyz
'x,y,z'
loop_
_atom_site_label
_atom_site_fract_x
_atom_site_fract_y
_atom_site_fract_z
Tl1 0.500 0.500 0.500
Co1 0.000 0.000 0.000
Y1 0.000 0.000 0.500
La1 0.000 0.500 0.000
La2 0.500 0.000 0.000
# **Crystal system**: tetragonal
# **Formation energy from the elements**: -0.239 eV per atom
# **Energy**: -5.40 eV per atom

Entry 4:
# La2YTlCo PBE relaxed
data_La2YTlCo
_cell_length_a 5.241
_cell_length_b 5.241
_cell_length_c 5.295
_cell_angle_alpha 90.00
_cell_angle_beta 90.00
_cell_angle_gamma 90.00
_space_group_name_H-M_alt 'P 1'
_space_group_IT_number 1
loop_
_space_group_symop_operation_xyz
'x,y,z'
loop_
_atom_site_label
_atom_site_fract_x
_atom_site_fract_y
_atom_site_fract_z
Co1 0.000 0.000 0.000
La1 0.500 0.000 0.000
La2 0.000 0.500 0.000
Tl1 0.000 0.000 0.500
Y1 0.500 0.500 0.500
# **Crystal system**: tetragonal
# **Formation energy from the elements**: -0.033 eV per atom
# **Energy**: -5.19 eV per atom

Entry 5:
# La2TlZnCo PBE relaxed
data_La2TlZnCo
_cell_length_a 5.217
_cell_length_b 5.217
_cell_length_c 5.044
_cell_angle_alpha 90.00
_cell_angle_beta 90.00
_cell_angle_gamma 90.00
_space_group_name_H-M_alt 'P 1'
_space_group_IT_number 1
loop_
_space_group_symop_operation_xyz
'x,y,z'
loop_
_atom_site_label
_atom_site_fract_x
_atom_site_fract_y
_atom_site_fract_z
Zn1 0.500 0.500 0.500
Tl1 0.000 0.000 0.500
La1 0.500 0.000 0.000
La2 0.000 0.500 0.000
Co1 0.000 0.000 0.000
# **Crystal system**: tetragonal
# **Formation energy from the elements**: -0.154 eV per atom
# **Energy**: -4.27 eV per atom

Entry 6:
# La2TlZnCo PBE relaxed
data_La2TlZnCo
_cell_length_a 5.236
_cell_length_b 5.236
_cell_length_c 4.785
_cell_angle_alpha 90.00
_cell_angle_beta 90.00
_cell_angle_gamma 90.00
_space_group_name_H-M_alt 'P 1'
_space_group_IT_number 1
loop_
_space_group_symop_operation_xyz
'x,y,z'
loop_
_atom_site_label
_atom_site_fract_x
_atom_site_fract_y
_atom_site_fract_z
La1 0.000 0.500 0.000
La2 0.500 0.000 0.000
Co1 0.000 0.000 0.000
Zn1 0.000 0.000 0.500
Tl1 0.500 0.500 0.500
# **Crystal system**: tetragonal
# **Formation energy from the elements**: -0.265 eV per atom
# **Energy**: -4.39 eV per atom

Entry 7:
# LaTlZn2Co PBE relaxed
data_LaTlZn2Co
_cell_length_a 4.706
_cell_length_b 4.706
_cell_length_c 4.929
_cell_angle_alpha 90.00
_cell_angle_beta 90.00
_cell_angle_gamma 90.00
_space_group_name_H-M_alt 'P 1'
_space_group_IT_number 1
loop_
_space_group_symop_operation_xyz
'x,y,z'
loop_
_atom_site_label
_atom_site_fract_x
_atom_site_fract_y
_atom_site_fract_z
Zn1 0.000 0.500 0.000
Zn2 0.500 0.000 0.000
Co1 0.000 0.000 0.000
La1 0.500 0.500 0.500
Tl1 0.000 0.000 0.500
# **Crystal system**: tetragonal
# **Formation energy from the elements**: -0.097 eV per atom
# **Energy**: -3.49 eV per atom

Entry 8:
# La6Tl2ZnCo PBE relaxed
data_La6Tl2ZnCo
_cell_length_a 7.825
_cell_length_b 7.825
_cell_length_c 7.825
_cell_angle_alpha 60.00
_cell_angle_beta 60.00
_cell_angle_gamma 90.00
_space_group_name_H-M_alt 'P 1'
_space_group_IT_number 1
loop_
_space_group_symop_operation_xyz
'x,y,z'
loop_
_atom_site_label
_atom_site_fract_x
_atom_site_fract_y
_atom_site_fract_z
Zn1 0.500 0.500 0.000
La1 0.240 0.240 0.520
La2 0.240 0.760 0.000
La3 0.240 0.240 0.000
La4 0.760 0.240 0.000
La5 0.760 0.760 0.480
La6 0.760 0.760 0.000
Tl1 0.750 0.250 0.500
Tl2 0.250 0.750 0.500
Co1 0.000 0.000 0.000
# **Crystal system**: cubic
# **Formation energy from the elements**: -0.079 eV per atom
# **Energy**: -4.35 eV per atom

Q: What is the energy in the fourth record?
A: -5.19 eV per atom

What did the sixth record say?
# La2TlZnCo PBE relaxed
data_La2TlZnCo
_cell_length_a 5.236
_cell_length_b 5.236
_cell_length_c 4.785
_cell_angle_alpha 90.00
_cell_angle_beta 90.00
_cell_angle_gamma 90.00
_space_group_name_H-M_alt 'P 1'
_space_group_IT_number 1
loop_
_space_group_symop_operation_xyz
'x,y,z'
loop_
_atom_site_label
_atom_site_fract_x
_atom_site_fract_y
_atom_site_fract_z
La1 0.000 0.500 0.000
La2 0.500 0.000 0.000
Co1 0.000 0.000 0.000
Zn1 0.000 0.000 0.500
Tl1 0.500 0.500 0.500
# **Crystal system**: tetragonal
# **Formation energy from the elements**: -0.265 eV per atom
# **Energy**: -4.39 eV per atom

Q: Among the records above, which one has the lowest energy?
A: number 3

Q: What is the formation energy from the elements in the sixth record?
A: -0.265 eV per atom